Record 1
A plane-wave DFT calculation with PBE was carried out for crystalline BaTlZn2H6 at its relaxed geometry.

Values from the calculation:
Magnetic moment: 0.000 μB/atom
E_tot: -108.8 eV for the cell shown
DOS(E_F): 0.086 states/eV per atom

abc: 8.196 11.115 6.580
angles: 90.00 101.53 90.00
Space group C2/c (No. 15)
One atom of each set of equivalent atoms:
Ba  0.000  0.161  0.250
Tl  0.000  0.431  0.750
Zn  0.170  0.132  0.752
H  0.149  0.266  0.628
H  0.155  0.019  0.581
H  0.155  0.348  0.081

Record 2
A plane-wave DFT calculation with PBE was carried out for crystalline SrSc2Fe at its relaxed geometry.

Values from the calculation:
Magnetic moment: 0.112 μB/atom
DOS(E_F): 1.017 states/eV per atom
Energy above the lowest structure with this stoichiometry: 254 meV per atom
Formation energy from the elements: 34 kJ per mole of atoms

abc: 3.5713 3.5713 29.9917
angles: 90.00 90.00 120.00
Space group R-3m (No. 166, hexagonal axes)
One atom of each set of equivalent atoms:
Sr  0.0000  0.0000  0.0000
Sc  0.0000  0.0000  0.1180
Fe  0.0000  0.0000  0.5000

> The highest DOS(E_F) belongs to which entry?

SrSc2Fe

What did the first record say?
A plane-wave DFT calculation with PBE was carried out for crystalline BaTlZn2H6 at its relaxed geometry.

Values from the calculation:
Magnetic moment: 0.000 μB/atom
E_tot: -108.8 eV for the cell shown
DOS(E_F): 0.086 states/eV per atom

abc: 8.196 11.115 6.580
angles: 90.00 101.53 90.00
Space group C2/c (No. 15)
One atom of each set of equivalent atoms:
Ba  0.000  0.161  0.250
Tl  0.000  0.431  0.750
Zn  0.170  0.132  0.752
H  0.149  0.266  0.628
H  0.155  0.019  0.581
H  0.155  0.348  0.081

> The lowest DOS(E_F) belongs to which entry?

BaTlZn2H6

> What is the formula in the second record?

SrSc2Fe